BeVCrO5 | PBE with a Hubbard U | relaxed

Results
Total DFT energy (no corrections) (eV per formula unit): -58.05
Size of the total moment (μB per formula unit): 3.0
DOS at the Fermi energy (states/eV/atom): 0.0128

a = 5.039 Å, b = 5.039 Å, c = 6.951 Å
α = 103.76°, β = 103.76°, γ = 107.44°
Each line ends with the local moment (μB).
Fractional positions:
Be (0.688, 0.312, 0.250)  0.01
Be (0.312, 0.688, 0.750)  0.01
V (0.361, 0.639, 0.250)  1.10
V (0.639, 0.361, 0.750)  1.10
Cr (0.000, 0.000, 0.500)  2.38
Cr (0.000, 0.000, 0.000)  2.38
O (0.108, 0.892, 0.250)  -0.22
O (0.892, 0.108, 0.750)  -0.22
O (0.965, 0.355, 0.167)  -0.06
O (0.035, 0.645, 0.833)  -0.06
O (0.645, 0.035, 0.333)  -0.06
O (0.355, 0.965, 0.667)  -0.06
O (0.709, 0.610, 0.422)  -0.09
O (0.291, 0.390, 0.578)  -0.09
O (0.390, 0.291, 0.078)  -0.09
O (0.610, 0.709, 0.922)  -0.09